# 1
VASP calculation (PBE) on a relaxed KMgAs crystal.

Output
E_tot   -18.84 eV/cell
Mass density   2787 kg/m³
Energy of formation from the pure elements   -0.6922 eV/atom

a = 4.5756 Å, b = 4.5756 Å, c = 7.8729 Å
α = 90.00°, β = 90.00°, γ = 90.00°
Last column: nearest neighbours and their distance in Å.
Fractional coordinates of all 6 atoms:
K: 0.2500 0.2500 0.1443  5 As 3.48-3.56, 4 Mg 3.62
K: 0.7500 0.7500 0.8557  5 As 3.48-3.56, 4 Mg 3.62
Mg: 0.2500 0.7500 0.5000  4 As 2.74
Mg: 0.7500 0.2500 0.5000  4 As 2.74
As: 0.2500 0.2500 0.6919  4 Mg 2.74
As: 0.7500 0.7500 0.3081  4 Mg 2.74

# 2
VASP calculation (PBE) on a relaxed TlCd4Sn crystal.

Output
E_tot   -9.69 eV/cell
DOS at the Fermi energy   1.05 states/eV/cell
Mass density   8326 kg/m³
Energy of formation from the pure elements   0.0572 eV/atom

a = 6.0179 Å, b = 6.0179 Å, c = 6.0179 Å
α = 60.00°, β = 60.00°, γ = 60.00°
Last column: nearest neighbours and their distance in Å.
Fractional coordinates of all 6 atoms:
Tl: 0.0000 0.0000 0.0000  12 Cd 3.53, 4 Sn 3.69
Cd: 0.3750 0.3750 0.3750  6 Cd 3.01
Cd: 0.3750 0.3750 0.8749  6 Cd 3.01
Cd: 0.3750 0.8749 0.3750  6 Cd 3.01
Cd: 0.8749 0.3750 0.3750  6 Cd 3.01
Sn: 0.7500 0.7500 0.7500  12 Cd 3.53, 4 Tl 3.69

Question: Which of these has the highest E_tot?
Answer: TlCd4Sn